## w
# BaMg6CO8 PBE relaxed
data_BaMg6CO8
_cell_length_a 4.558
_cell_length_b 4.558
_cell_length_c 9.003
_cell_angle_alpha 90.00
_cell_angle_beta 90.00
_cell_angle_gamma 90.00
_space_group_name_H-M_alt 'P 4/m m m'
_space_group_IT_number 123
_space_group_name_Hall '-P 4 2'
loop_
_atom_site_label
_atom_site_type_symbol
_atom_site_fract_x
_atom_site_fract_y
_atom_site_fract_z
Ba1 Ba 0.000 0.000 0.000
Mg1 Mg 0.000 0.000 0.500
Mg2 Mg 0.000 0.500 0.269
Mg3 Mg 0.500 0.500 0.500
C1 C 0.500 0.500 0.000
O1 O 0.000 0.000 0.282
O2 O 0.000 0.500 0.000
O3 O 0.000 0.500 0.500
O4 O 0.500 0.500 0.263
# Total moment: 0.8 μB per formula unit

=====

## x
# BaMg6CO8 PBE relaxed
data_BaMg6CO8
_cell_length_a 4.664
_cell_length_b 4.664
_cell_length_c 8.670
_cell_angle_alpha 90.00
_cell_angle_beta 90.00
_cell_angle_gamma 90.00
_space_group_name_H-M_alt 'P 4/m m m'
_space_group_IT_number 123
_space_group_name_Hall '-P 4 2'
loop_
_atom_site_label
_atom_site_type_symbol
_atom_site_fract_x
_atom_site_fract_y
_atom_site_fract_z
Ba1 Ba 0.000 0.000 0.000
Mg1 Mg 0.000 0.500 0.269
Mg2 Mg 0.500 0.500 0.000
Mg3 Mg 0.500 0.500 0.500
C1 C 0.000 0.000 0.500
O1 O 0.000 0.000 0.287
O2 O 0.000 0.500 0.000
O3 O 0.000 0.500 0.500
O4 O 0.500 0.500 0.254
# Total moment: 0.0 μB per formula unit

=====

Which structure wins on stability? w wins.

=====

## w
# BaMoC3 PBE relaxed
data_BaMoC3
_cell_length_a 4.240
_cell_length_b 4.240
_cell_length_c 4.240
_cell_angle_alpha 90.00
_cell_angle_beta 90.00
_cell_angle_gamma 90.00
_space_group_name_H-M_alt 'P m -3 m'
_space_group_IT_number 221
_space_group_name_Hall '-P 4 2 3'
loop_
_atom_site_label
_atom_site_type_symbol
_atom_site_fract_x
_atom_site_fract_y
_atom_site_fract_z
Ba1 Ba 0.000 0.000 0.000
Mo1 Mo 0.500 0.500 0.500
C1 C 0.000 0.500 0.500
# Total moment: 0.8 μB per formula unit

=====

## x
# BaMoC3 PBE relaxed
data_BaMoC3
_cell_length_a 4.433
_cell_length_b 4.433
_cell_length_c 4.433
_cell_angle_alpha 90.00
_cell_angle_beta 90.00
_cell_angle_gamma 90.00
_space_group_name_H-M_alt 'P m -3 m'
_space_group_IT_number 221
_space_group_name_Hall '-P 4 2 3'
loop_
_atom_site_label
_atom_site_type_symbol
_atom_site_fract_x
_atom_site_fract_y
_atom_site_fract_z
Ba1 Ba 0.000 0.000 0.000
Mo1 Mo 0.500 0.500 0.500
C1 C 0.000 0.000 0.500
# Total moment: 0.0 μB per formula unit

=====

Which structure wins on stability? w wins.